# CdRe2Hg

CdRe2Hg after structural relaxation (PBE, Alexandria).

Summary:
For the distance to the lowest polymorph of the same formula, the calculation gives 0.0 meV/atom. The formation enthalpy at 0 K comes out at 0.31 eV/atom.

Lattice parameters (Å, degrees): 2.9853 2.9900 8.7797 70.47 90.00 90.00
Element x y z (fractional)
Re (0.0000, 0.9594, 0.0392)
Re (0.5000, 0.2863, 0.2148)
Hg (0.5000, 0.7229, 0.7710)
Cd (0.0000, 0.5314, 0.4750)